Record 1
A plane-wave DFT calculation with PBE was carried out for a relaxed RbYNb crystal.

Cell: 5.5811 5.5811 5.5811 Å, 60.00 60.00 60.00°
Site moments in Bohr magnetons follow the coordinates.
Sites, in units of the cell vectors:
1 Y 0.7500 0.7500 0.7500  0.49
2 Nb 0.0000 0.0000 0.0000  2.77
3 Rb 0.2500 0.2500 0.2500  0.06

Results
space-group type	F-43m, No. 216
calculated volume	40.976	A^3/atom
distance to the lowest polymorph of the same formula	0	meV/atom
total DFT energy (no corrections)	-4.17	eV/atom

***

Record 2
A plane-wave DFT calculation with PBE was carried out for a relaxed Zr2AlInCu2Pd2 crystal.

Cell: 4.5528 4.5528 6.4607 Å, 90.00 90.00 90.00°
Sites, in units of the cell vectors:
1 Cu 0.5000 0.0000 0.2383
2 Cu 0.0000 0.5000 0.7617
3 In 0.5000 0.5000 0.5000
4 Al 0.0000 0.0000 0.0000
5 Pd 0.0000 0.5000 0.2306
6 Pd 0.5000 0.0000 0.7694
7 Zr 0.0000 0.0000 0.5000
8 Zr 0.5000 0.5000 0.0000

Results
space-group type	P-4m2, No. 115
calculated volume	16.740	A^3/atom
total DFT energy (no corrections)	-5.71	eV/atom

***

Record 3
A plane-wave DFT calculation with PBE was carried out for a relaxed Pr2Gd2O5 crystal.

Cell: 10.3500 3.9169 3.9169 Å, 90.00 90.00 90.00°
Site moments in Bohr magnetons follow the coordinates.
Sites, in units of the cell vectors:
1 O 0.1341 0.5000 0.0000  0.01
2 O 0.1341 0.0000 0.5000  0.02
3 O 0.8659 0.5000 0.0000  0.01
4 O 0.8659 0.0000 0.5000  0.02
5 O 0.5000 0.5000 0.5000  0.01
6 Pr 0.2403 0.5000 0.5000  0.05
7 Pr 0.7597 0.5000 0.5000  0.05
8 Gd 0.5000 0.0000 0.0000  0.58
9 Gd 0.0000 0.0000 0.0000  0.00

Results
space-group type	P4/mmm, No. 123
calculated volume	17.644	A^3/atom
total DFT energy (no corrections)	-7.58	eV/atom

***

Record 4
A plane-wave DFT calculation with PBE was carried out for a relaxed Lu4FeCoN2 crystal.

Cell: 3.3035 3.3035 13.7674 Å, 90.00 90.00 120.00°
Site moments in Bohr magnetons follow the coordinates.
Sites, in units of the cell vectors:
1 Lu 0.6667 0.3333 0.1457  0.16
2 Lu 0.6667 0.3333 0.8543  0.16
3 Lu 0.3333 0.6667 0.3450  -0.27
4 Lu 0.3333 0.6667 0.6550  -0.27
5 N 0.0000 0.0000 0.7535  0.00
6 N 0.0000 0.0000 0.2465  0.00
7 Co 0.3333 0.6667 0.0000  -0.82
8 Fe 0.6667 0.3333 0.5000  2.25

Results
space-group type	P-6m2, No. 187
calculated volume	16.264	A^3/atom
total DFT energy (no corrections)	-6.97	eV/atom

***

Record 5
A plane-wave DFT calculation with PBE was carried out for a relaxed UAlSi2 crystal.

Cell: 4.1861 4.1861 3.8993 Å, 90.00 90.00 90.00°
Sites, in units of the cell vectors:
1 Si 0.0000 0.5000 0.0000
2 Si 0.5000 0.0000 0.0000
3 Al 0.0000 0.0000 0.5000
4 U 0.5000 0.5000 0.5000

Results
space-group type	P4/mmm, No. 123
calculated volume	17.082	A^3/atom
total DFT energy (no corrections)	-6.80	eV/atom

***

Record 6
A plane-wave DFT calculation with PBE was carried out for a relaxed HfTlRe2 crystal.

Cell: 4.6593 4.6593 4.6593 Å, 60.00 60.00 60.00°
Sites, in units of the cell vectors:
1 Hf 0.2500 0.2500 0.2500
2 Tl 0.5000 0.5000 0.5000
3 Re 0.7500 0.7500 0.7500
4 Re 0.0000 0.0000 0.0000

Results
space-group type	F-43m, No. 216
calculated volume	17.881	A^3/atom
total DFT energy (no corrections)	-8.67	eV/atom

***

Record 7
A plane-wave DFT calculation with PBE was carried out for a relaxed HfFeSb2 crystal.

Cell: 4.8999 4.8999 4.8999 Å, 60.00 60.00 60.00°
Site moments in Bohr magnetons follow the coordinates.
Sites, in units of the cell vectors:
1 Sb 0.0000 0.0000 0.0000  0.07
2 Sb 0.7500 0.7500 0.7500  0.00
3 Hf 0.2500 0.2500 0.2500  -0.30
4 Fe 0.5000 0.5000 0.5000  2.38

Results
space-group type	F-43m, No. 216
calculated volume	20.796	A^3/atom
total DFT energy (no corrections)	-6.34	eV/atom

***

Record 8
A plane-wave DFT calculation with PBE was carried out for a relaxed Ba2TcSbS6 crystal.

Cell: 7.0670 7.0670 7.0670 Å, 120.00 120.00 60.00°
Site moments in Bohr magnetons follow the coordinates.
Sites, in units of the cell vectors:
1 S 0.7599 0.7599 0.7599  0.02
2 S 0.2401 0.2401 0.2401  0.02
3 S 0.7599 0.2401 0.2401  0.04
4 S 0.7599 0.2401 0.7599  0.06
5 S 0.2401 0.7599 0.7599  0.04
6 S 0.2401 0.7599 0.2401  0.06
7 Ba 0.2500 0.2500 0.7500  0.01
8 Ba 0.7500 0.7500 0.2500  0.01
9 Tc 0.0000 0.0000 0.0000  1.57
10 Sb 0.5000 0.5000 0.5000  -0.01

Results
space-group type	Fm-3m, No. 225
calculated volume	24.957	A^3/atom
total DFT energy (no corrections)	-5.16	eV/atom

***

Please write out number 7 again, unchanged.
A plane-wave DFT calculation with PBE was carried out for a relaxed HfFeSb2 crystal.

Cell: 4.8999 4.8999 4.8999 Å, 60.00 60.00 60.00°
Site moments in Bohr magnetons follow the coordinates.
Sites, in units of the cell vectors:
1 Sb 0.0000 0.0000 0.0000  0.07
2 Sb 0.7500 0.7500 0.7500  0.00
3 Hf 0.2500 0.2500 0.2500  -0.30
4 Fe 0.5000 0.5000 0.5000  2.38

Results
space-group type	F-43m, No. 216
calculated volume	20.796	A^3/atom
total DFT energy (no corrections)	-6.34	eV/atom